# 1
PBE ScFeCl, optimized geometry; E_form (uncorrected) = -0.915 eV/atom; calculated density = 3.7 g/cm3; V = 124 Å³/cell
1.0
1.799 1.039 11.033
-1.799 1.039 11.033
0.000 -2.077 11.033
Sc Fe Cl
2 2 2
Direct
0.000 0.000 0.000
0.461 0.461 0.461
0.386 0.386 0.386
0.734 0.734 0.734
0.176 0.176 0.176
0.617 0.617 0.617

# 2
PBE SrCaBe, optimized geometry; calculated density = 2.0 g/cm3; V = 111 Å³/cell; ΔH_f (0 K) = 0.45 eV per atom
1.0
4.268 0.000 0.000
-2.134 3.696 0.000
0.000 0.000 7.032
Sr Ca Be
1 1 1
Direct
0.000 0.000 0.000
0.333 0.667 0.490
0.667 0.333 0.266

# 3
PBE TbZnGePt3, optimized geometry; calculated density = 12.8 g/cm3; V = 228 Å³/cell; ΔH_f (0 K) = -0.64 eV per atom
1.0
3.414 -5.942 0.000
3.414 5.942 0.000
0.000 0.000 5.620
Tb Zn Ge Pt
2 2 2 6
Direct
0.200 0.800 0.750
0.800 0.200 0.250
0.445 0.555 0.750
0.555 0.445 0.250
0.130 0.870 0.250
0.870 0.130 0.750
0.209 0.209 0.000
0.209 0.209 0.500
0.331 0.669 0.250
0.669 0.331 0.750
0.791 0.791 0.000
0.791 0.791 0.500

# 4
PBE K2RbNa16, optimized geometry; calculated density = 1.1 g/cm3; V = 831 Å³/cell; ΔH_f (0 K) = 0.03 eV per atom
1.0
6.271 3.621 6.100
-6.271 3.621 6.100
0.000 -7.242 6.100
K Rb Na
2 1 16
Direct
0.000 0.000 0.000
0.306 0.306 0.306
0.752 0.752 0.752
0.002 0.002 0.468
0.002 0.468 0.002
0.163 0.634 0.634
0.298 0.298 0.795
0.298 0.795 0.298
0.334 0.643 0.950
0.334 0.950 0.643
0.468 0.002 0.002
0.540 0.540 0.540
0.634 0.163 0.634
0.634 0.634 0.163
0.643 0.334 0.950
0.643 0.950 0.334
0.795 0.298 0.298
0.950 0.334 0.643
0.950 0.643 0.334

# 5
PBE NdZrSn2, optimized geometry; calculated density = 7.6 g/cm3; V = 103 Å³/cell; ΔH_f (0 K) = -0.50 eV per atom
1.0
3.920 0.000 0.000
0.000 3.920 0.000
0.000 0.000 6.726
Nd Zr Sn
1 1 2
Direct
0.000 0.000 0.000
0.000 0.000 0.500
0.500 0.500 0.281
0.500 0.500 0.719

# 6
PBE Ba2TlAg, optimized geometry; calculated density = 5.4 g/cm3; V = 543 Å³/cell; ΔH_f (0 K) = -0.25 eV per atom
1.0
5.069 0.000 0.000
-2.534 4.390 0.000
0.000 0.000 24.418
Ba Tl Ag
6 3 3
Direct
0.000 0.000 0.000
0.000 0.000 0.171
0.333 0.667 0.667
0.333 0.667 0.837
0.667 0.333 0.333
0.667 0.333 0.504
0.000 0.000 0.752
0.333 0.667 0.418
0.667 0.333 0.085
0.000 0.000 0.418
0.333 0.667 0.085
0.667 0.333 0.752

What did the first record say?
PBE ScFeCl, optimized geometry; E_form (uncorrected) = -0.915 eV/atom; calculated density = 3.7 g/cm3; V = 124 Å³/cell
1.0
1.799 1.039 11.033
-1.799 1.039 11.033
0.000 -2.077 11.033
Sc Fe Cl
2 2 2
Direct
0.000 0.000 0.000
0.461 0.461 0.461
0.386 0.386 0.386
0.734 0.734 0.734
0.176 0.176 0.176
0.617 0.617 0.617

Which of these has the highest calculated density?
TbZnGePt3

Which value of calculated density does entry 6 give?
5.4 g/cm3

Please write out number 1 again, unchanged.
PBE ScFeCl, optimized geometry; E_form (uncorrected) = -0.915 eV/atom; calculated density = 3.7 g/cm3; V = 124 Å³/cell
1.0
1.799 1.039 11.033
-1.799 1.039 11.033
0.000 -2.077 11.033
Sc Fe Cl
2 2 2
Direct
0.000 0.000 0.000
0.461 0.461 0.461
0.386 0.386 0.386
0.734 0.734 0.734
0.176 0.176 0.176
0.617 0.617 0.617